No. 1
! YBe3W, relaxed, DFT PBE-GGA; values from VASP
! - Energy above the lowest structure with this stoichiometry: 1835.1 meV/atom
! - Energy of formation from the pure elements: 2419.2 meV/atom
&SYSTEM
  ibrav = 0, nat = 5, ntyp = 3
/
ATOMIC_SPECIES
Y 88.91 Y.upf
Be 9.01 Be.upf
W 183.84 W.upf
CELL_PARAMETERS angstrom
4.341 0.000 0.000
0.000 4.341 0.000
0.000 0.000 4.341
ATOMIC_POSITIONS angstrom
Y 0.000 0.000 0.000
Be 0.000 0.000 2.170
Be 0.000 2.170 0.000
Be 2.170 0.000 0.000
W 2.170 2.170 2.170

=====

No. 2
! YBe2W2, relaxed, DFT PBE-GGA; values from VASP
! - Energy of formation from the pure elements: 348.3 meV/atom
&SYSTEM
  ibrav = 0, nat = 10, ntyp = 3
/
ATOMIC_SPECIES
Y 88.91 Y.upf
Be 9.01 Be.upf
W 183.84 W.upf
CELL_PARAMETERS angstrom
6.731 0.000 0.000
0.000 6.731 0.000
0.000 0.000 3.263
ATOMIC_POSITIONS angstrom
Y 0.000 0.000 0.000
Y 3.365 3.365 0.000
Be 0.745 2.621 0.000
Be 2.621 5.986 0.000
Be 4.110 0.745 0.000
Be 5.986 4.110 0.000
W 1.131 4.497 1.632
W 2.234 1.131 1.632
W 4.497 5.600 1.632
W 5.600 2.234 1.632

=====

No. 3
! YBeW3, relaxed, DFT PBE-GGA; values from VASP
! - Energy above the lowest structure with this stoichiometry: 0.0 meV/atom
! - Energy of formation from the pure elements: 845.2 meV/atom
&SYSTEM
  ibrav = 0, nat = 5, ntyp = 3
/
ATOMIC_SPECIES
Y 88.91 Y.upf
Be 9.01 Be.upf
W 183.84 W.upf
CELL_PARAMETERS angstrom
4.430 0.000 0.000
0.000 4.430 0.000
0.000 0.000 4.430
ATOMIC_POSITIONS angstrom
Y 0.000 0.000 0.000
Be 2.215 2.215 2.215
W 0.000 2.215 2.215
W 2.215 0.000 2.215
W 2.215 2.215 0.000

=====

No. 4
! BeZnW2, relaxed, DFT PBE-GGA; values from VASP
! - Energy above the lowest structure with this stoichiometry: 371.0 meV/atom
! - Energy of formation from the pure elements: 543.0 meV/atom
&SYSTEM
  ibrav = 0, nat = 4, ntyp = 3
/
ATOMIC_SPECIES
Be 9.01 Be.upf
Zn 65.41 Zn.upf
W 183.84 W.upf
CELL_PARAMETERS angstrom
0.000 3.008 3.008
3.008 0.000 3.008
3.008 3.008 0.000
ATOMIC_POSITIONS angstrom
Be 0.000 0.000 0.000
Zn 3.008 3.008 3.008
W 1.504 1.504 1.504
W 4.512 4.512 4.512

=====

No. 5
! BeZnW2, relaxed, DFT PBE-GGA; values from VASP
! - Energy above the lowest structure with this stoichiometry: 171.9 meV/atom
! - Energy of formation from the pure elements: 344.0 meV/atom
&SYSTEM
  ibrav = 0, nat = 4, ntyp = 3
/
ATOMIC_SPECIES
Be 9.01 Be.upf
Zn 65.41 Zn.upf
W 183.84 W.upf
CELL_PARAMETERS angstrom
3.219 0.000 0.000
0.000 3.219 0.000
0.000 0.000 5.602
ATOMIC_POSITIONS angstrom
Be 0.000 0.000 0.000
Zn 1.610 1.610 4.270
W 0.000 0.000 2.639
W 1.610 1.610 1.339

=====

No. 6
! BeZnW, relaxed, DFT PBE-GGA; values from VASP
! - Energy above the lowest structure with this stoichiometry: 634.9 meV/atom
! - Energy of formation from the pure elements: 655.2 meV/atom
&SYSTEM
  ibrav = 0, nat = 3, ntyp = 3
/
ATOMIC_SPECIES
Be 9.01 Be.upf
Zn 65.41 Zn.upf
W 183.84 W.upf
CELL_PARAMETERS angstrom
0.000 2.733 2.733
2.733 0.000 2.733
2.733 2.733 0.000
ATOMIC_POSITIONS angstrom
Be 0.000 0.000 0.000
Zn 4.100 4.100 4.100
W 1.367 1.367 1.367